No. 1
Entry from the Open Quantum Materials Database: a relaxed structure of TaCl2 (GGA-PBE).

a b c (Å): 6.291 6.291 3.081
angles (deg): 90.00 90.00 90.00
Fractional coordinates of all 6 atoms:
Ta (0.000, 0.000, 0.000)
Ta (0.500, 0.500, 0.500)
Cl (0.223, 0.223, 0.500)
Cl (0.277, 0.723, 0.000)
Cl (0.723, 0.277, 0.000)
Cl (0.777, 0.777, 0.500)

Properties
For the total DFT energy (no corrections), the calculation gives -5.685 eV per atom.

No. 2
Entry from the Open Quantum Materials Database: a relaxed structure of TmCd4Cu (GGA-PBE).

a b c (Å): 5.671 5.671 5.671
angles (deg): 60.00 60.00 60.00
Fractional coordinates of all 6 atoms:
Tm (0.000, 0.000, 0.000)
Cd (0.126, 0.625, 0.625)
Cd (0.625, 0.126, 0.625)
Cd (0.625, 0.625, 0.126)
Cd (0.625, 0.625, 0.625)
Cu (0.250, 0.250, 0.250)

Properties
For the total DFT energy (no corrections), the calculation gives -1.889 eV per atom.

Number 1 is which compound?
TaCl2

Look up the total DFT energy (no corrections) of the second one.
-1.889 eV per atom

What is the formula in the first record?
TaCl2

The highest total DFT energy (no corrections) belongs to which entry?
TmCd4Cu